{
  "formula": "CsMoIrO6",
  "functional": "PBE+U",
  "state": "optimized geometry",
  "lattice_angstrom": [[7.417, 0.000, 0.000], [0.000, 7.228, 0.000], [-3.708, -3.614, 5.204]],
  "species": ["O", "O", "O", "Ir", "Cs", "O", "O", "O", "O", "Ir", "O", "Cs", "Mo", "O", "O", "Mo", "O", "O"],
  "fractional_positions": [[0.187, 0.937, 0.373], [0.813, 0.063, 0.627], [0.443, 0.069, 0.257], [0.500, 0.500, 0.000], [0.873, 0.623, 0.745], [0.435, 0.685, 0.869], [0.185, 0.312, 0.743], [0.815, 0.069, 0.257], [0.443, 0.688, 0.257], [0.500, 0.000, 0.000], [0.565, 0.315, 0.131], [0.127, 0.377, 0.255], [0.000, 0.000, 0.500], [0.815, 0.688, 0.257], [0.185, 0.931, 0.743], [0.500, 0.000, 0.500], [0.557, 0.931, 0.743], [0.557, 0.312, 0.743]],
  "m_tot_mub_per_atom": 0.136,
  "total_energy_ev_per_atom": -6.487
}